# 1
This record from Alexandria describes HoAl2Si2 after structural relaxation. The functional is GGA-PBEsol.

* formation energy from raw total energies: -0.383 eV/atom

Unit cell a=4.1686 b=4.1686 c=6.4439 alpha=90.00 beta=90.00 gamma=120.00
Closest atoms and distances in Å follow each position.
Element x y z (fractional)
Ho 0.0000 0.0000 0.0000  6 Si 2.91
Al 0.3333 0.6667 0.6463  4 Si 2.49-2.52
Al 0.6667 0.3333 0.3537  4 Si 2.49-2.52
Si 0.3333 0.6667 0.2550  4 Al 2.49-2.52
Si 0.6667 0.3333 0.7450  4 Al 2.49-2.52



# 2
This record from Alexandria describes FeRuSe2 after structural relaxation. The functional is GGA-PBEsol.

* formation energy from raw total energies: 0.142 eV/atom
* energy above the lowest structure with this stoichiometry: 345 meV/atom

Unit cell a=6.1151 b=6.1151 c=6.1151 alpha=90.00 beta=90.00 gamma=90.00
Closest atoms and distances in Å follow each position.
Element x y z (fractional)
Fe 0.0000 0.0000 0.0000  8 Se 2.65
Fe 0.0000 0.5000 0.5000  8 Se 2.65
Fe 0.5000 0.0000 0.5000  8 Se 2.65
Fe 0.5000 0.5000 0.0000  8 Se 2.65
Ru 0.0000 0.0000 0.5000  8 Se 2.65
Ru 0.0000 0.5000 0.0000  8 Se 2.65
Ru 0.5000 0.0000 0.0000  8 Se 2.65
Ru 0.5000 0.5000 0.5000  8 Se 2.65
Se 0.2500 0.2500 0.2500  4 Fe 2.65, 4 Ru 2.65
Se 0.2500 0.2500 0.7500  4 Fe 2.65, 4 Ru 2.65
Se 0.2500 0.7500 0.2500  4 Fe 2.65, 4 Ru 2.65
Se 0.2500 0.7500 0.7500  4 Fe 2.65, 4 Ru 2.65
Se 0.7500 0.2500 0.2500  4 Fe 2.65, 4 Ru 2.65
Se 0.7500 0.2500 0.7500  4 Fe 2.65, 4 Ru 2.65
Se 0.7500 0.7500 0.2500  4 Fe 2.65, 4 Ru 2.65
Se 0.7500 0.7500 0.7500  4 Fe 2.65, 4 Ru 2.65



# 3
This record from Alexandria describes NbCr2AgH after structural relaxation. The functional is GGA-PBEsol.

* DFT total energy: -5.284 eV per atom

Unit cell a=4.8787 b=4.8787 c=5.0232 alpha=90.00 beta=90.00 gamma=90.00
Closest atoms and distances in Å follow each position.
Element x y z (fractional)
Nb 0.0000 0.0000 0.0000  2 Ag 2.51
Cr 0.0000 0.5000 0.5000  2 Ag 2.44
Cr 0.5000 0.0000 0.5000  2 Ag 2.44
Ag 0.0000 0.0000 0.5000  4 Cr 2.44, 2 Nb 2.51
H 0.5000 0.5000 0.0000  4 Nb 3.45, 8 Cr 3.50